<a>
PBE La2SnIr2, relaxed; DOS(E_F) = 6.78 states/eV/cell
1.0
7.647 0.000 0.000
0.000 7.647 0.000
0.000 0.000 4.084
La Sn Ir
4 2 4
direct
0.178 0.322 0.000
0.322 0.822 0.000
0.678 0.178 0.000
0.822 0.678 0.000
0.000 0.000 0.500
0.500 0.500 0.500
0.127 0.627 0.500
0.373 0.127 0.500
0.627 0.873 0.500
0.873 0.373 0.500

=====

<b>
PBE La2SnIr2, relaxed; DOS(E_F) = 2.19 states/eV/cell
1.0
-2.872 2.872 3.977
2.872 -2.872 3.977
2.872 2.872 -3.977
La Sn Ir
2 1 2
direct
0.250 0.750 0.500
0.750 0.250 0.500
0.000 0.000 0.000
0.334 0.334 0.000
0.666 0.666 0.000

=====

Stability check: which of them is most stable? <a>.

=====

<a>
PBE La4SnIr, relaxed; DOS(E_F) = 10.59 states/eV/cell
1.0
8.149 -3.006 0.000
8.149 3.006 0.000
-2.269 0.000 7.847
La Sn Ir
8 2 2
direct
0.071 0.776 0.561
0.192 0.448 0.862
0.224 0.929 0.939
0.448 0.192 0.362
0.552 0.808 0.638
0.776 0.071 0.061
0.808 0.552 0.138
0.929 0.224 0.439
0.358 0.642 0.250
0.642 0.358 0.750
0.000 0.500 0.500
0.500 0.000 0.000

=====

<b>
PBE La4SnIr, relaxed; DOS(E_F) = 13.23 states/eV/cell
1.0
6.430 0.000 0.000
0.000 7.122 0.000
-0.584 0.000 8.447
La Sn Ir
8 2 2
direct
0.107 0.007 0.218
0.107 0.493 0.218
0.340 0.250 0.621
0.391 0.750 0.921
0.609 0.250 0.079
0.660 0.750 0.379
0.893 0.507 0.782
0.893 0.993 0.782
0.206 0.750 0.550
0.794 0.250 0.450
0.190 0.250 0.936
0.810 0.750 0.064

=====

Stability check: which of them is most stable? <b>.

=====

<a>
PBE La3Sn4Ir2, relaxed; DOS(E_F) = 5.92 states/eV/cell
1.0
5.900 -2.336 0.000
5.900 2.336 0.000
-2.540 0.000 8.585
La Sn Ir
3 4 2
direct
0.000 0.000 0.000
0.371 0.371 0.312
0.629 0.629 0.688
0.091 0.091 0.391
0.294 0.294 0.920
0.706 0.706 0.080
0.909 0.909 0.609
0.301 0.301 0.620
0.699 0.699 0.380

=====

<b>
PBE La3Sn4Ir2, relaxed; DOS(E_F) = 4.67 states/eV/cell
1.0
5.825 -2.355 0.000
5.825 2.355 0.000
-3.212 0.000 8.573
La Sn Ir
3 4 2
direct
0.000 0.000 0.000
0.319 0.319 0.376
0.681 0.681 0.624
0.022 0.022 0.352
0.262 0.262 0.905
0.738 0.738 0.095
0.978 0.978 0.648
0.397 0.397 0.720
0.603 0.603 0.280

=====

Stability check: which of them is most stable? <a>.

=====

<a>
PBE LaSn3Ir2, relaxed; DOS(E_F) = 8.57 states/eV/cell
1.0
3.270 1.888 7.339
-3.270 1.888 7.339
0.000 -3.776 7.339
La Sn Ir
2 6 4
direct
0.217 0.217 0.217
0.783 0.783 0.783
0.246 0.742 0.742
0.258 0.258 0.754
0.258 0.754 0.258
0.742 0.246 0.742
0.742 0.742 0.246
0.754 0.258 0.258
0.000 0.000 0.000
0.000 0.500 0.500
0.500 0.000 0.500
0.500 0.500 0.000

=====

<b>
PBE LaSn3Ir2, relaxed; DOS(E_F) = 9.19 states/eV/cell
1.0
8.835 -2.222 0.000
8.835 2.222 0.000
-3.094 0.000 10.376
La Sn Ir
3 9 6
direct
0.000 0.000 0.000
0.154 0.154 0.700
0.846 0.846 0.300
0.043 0.043 0.348
0.223 0.223 0.383
0.337 0.337 0.062
0.370 0.370 0.814
0.500 0.500 0.500
0.630 0.630 0.186
0.663 0.663 0.938
0.777 0.777 0.617
0.957 0.957 0.652
0.199 0.199 0.119
0.360 0.360 0.560
0.484 0.484 0.224
0.516 0.516 0.776
0.640 0.640 0.440
0.801 0.801 0.881

=====

Stability check: which of them is most stable? <b>.

=====

<a>
PBE La7Sn2Ir2, relaxed; DOS(E_F) = 13.40 states/eV/cell
1.0
4.251 -5.825 0.000
4.251 5.825 0.000
0.000 0.000 7.256
La Sn Ir
7 2 2
direct
0.000 0.000 0.000
0.000 0.500 0.255
0.000 0.500 0.745
0.500 0.000 0.255
0.500 0.000 0.745
0.500 0.500 0.231
0.500 0.500 0.769
0.174 0.174 0.500
0.826 0.826 0.500
0.278 0.722 0.000
0.722 0.278 0.000

=====

<b>
PBE La7Sn2Ir2, relaxed; DOS(E_F) = 13.50 states/eV/cell
1.0
-2.233 7.591 5.037
2.233 -7.591 5.037
2.233 7.591 -5.037
La Sn Ir
7 2 2
direct
0.000 0.000 0.000
0.302 0.404 0.898
0.320 0.647 0.673
0.505 0.404 0.102
0.596 0.218 0.378
0.841 0.218 0.622
0.974 0.647 0.327
0.161 0.933 0.228
0.705 0.933 0.772
0.213 0.713 0.500
0.667 0.667 0.000

=====

Stability check: which of them is most stable? <b>.

=====

<a>
PBE La2TlSnIr, relaxed; DOS(E_F) = 3.60 states/eV/cell
1.0
5.579 0.000 0.000
0.000 5.579 0.000
0.000 0.000 5.124
La Tl Sn Ir
2 1 1 1
direct
0.000 0.500 0.000
0.500 0.000 0.000
0.000 0.000 0.500
0.500 0.500 0.500
0.500 0.500 0.000

=====

<b>
PBE La2TlSnIr, relaxed; DOS(E_F) = 7.05 states/eV/cell
1.0
8.515 0.000 0.000
0.000 4.374 0.000
-3.186 0.000 7.909
La Tl Sn Ir
4 2 2 2
direct
0.088 0.250 0.325
0.325 0.750 0.086
0.675 0.250 0.914
0.912 0.750 0.675
0.408 0.750 0.593
0.592 0.250 0.407
0.244 0.250 0.755
0.756 0.750 0.245
0.051 0.250 0.948
0.949 0.750 0.052

=====

Stability check: which of them is most stable? <b>.

=====

<a>
PBE SrLaIr2, relaxed; DOS(E_F) = 4.11 states/eV/cell
1.0
3.960 0.000 0.000
0.000 3.960 0.000
0.000 0.000 6.408
Sr La Ir
1 1 2
direct
0.000 0.000 0.000
0.500 0.500 0.595
0.000 0.000 0.467
0.500 0.500 0.188

=====

<b>
PBE SrLaIr2, relaxed; DOS(E_F) = 3.06 states/eV/cell
1.0
0.000 3.590 3.590
3.590 0.000 3.590
3.590 3.590 0.000
Sr La Ir
1 1 2
direct
0.000 0.000 0.000
0.500 0.500 0.500
0.250 0.250 0.250
0.750 0.750 0.750

=====

Stability check: which of them is most stable? <b>.

=====

<a>
PBE SrLaIr2, relaxed; DOS(E_F) = 2.57 states/eV/cell
1.0
3.639 0.000 0.000
0.000 3.639 0.000
0.000 0.000 7.112
Sr La Ir
1 1 2
direct
0.000 0.000 0.000
0.000 0.000 0.500
0.500 0.500 0.278
0.500 0.500 0.722

=====

<b>
PBE SrLaIr2, relaxed; DOS(E_F) = 2.45 states/eV/cell
1.0
-1.614 2.484 5.845
1.614 -2.484 5.845
1.614 2.484 -5.845
Sr La Ir
1 1 2
direct
0.000 0.000 0.000
0.703 0.203 0.500
0.266 0.766 0.500
0.445 0.445 0.000

=====

Stability check: which of them is most stable? <a>.

=====

<a>
PBE SrLaIr2, relaxed; DOS(E_F) = 3.87 states/eV/cell
1.0
3.266 0.000 0.000
0.000 5.047 0.000
0.000 0.000 5.901
Sr La Ir
1 1 2
direct
0.000 0.000 0.000
0.500 0.500 0.551
0.000 0.000 0.500
0.500 0.500 0.065

=====

<b>
PBE SrLaIr2, relaxed; DOS(E_F) = 7.55 states/eV/cell
1.0
0.000 3.508 3.508
3.508 0.000 3.508
3.508 3.508 0.000
Sr La Ir
1 1 2
direct
0.000 0.000 0.000
0.250 0.250 0.250
0.500 0.500 0.500
0.750 0.750 0.750

=====

<c>
PBE SrLaIr2, relaxed; DOS(E_F) = 3.48 states/eV/cell
1.0
-3.918 3.918 3.109
3.918 -3.918 3.109
3.918 3.918 -3.109
Sr La Ir
2 2 4
direct
0.000 0.000 0.000
0.750 0.250 0.500
0.250 0.750 0.500
0.500 0.500 0.000
0.144 0.625 0.019
0.375 0.394 0.519
0.606 0.125 0.981
0.875 0.856 0.481

=====

Stability check: which of them is most stable? <c>.

=====

<a>
PBE SrLaIr2, relaxed; DOS(E_F) = 2.82 states/eV/cell
1.0
5.956 -1.582 0.000
5.956 1.582 0.000
-1.451 0.000 4.911
Sr La Ir
1 1 2
direct
0.000 0.000 0.000
0.199 0.199 0.643
0.439 0.439 0.456
0.763 0.763 0.191

=====

<b>
PBE SrLaIr2, relaxed; DOS(E_F) = 4.38 states/eV/cell
1.0
2.194 1.267 7.702
-2.194 1.267 7.702
0.000 -2.533 7.702
Sr La Ir
1 1 2
direct
0.000 0.000 0.000
0.165 0.165 0.165
0.423 0.423 0.423
0.757 0.757 0.757

=====

<c>
PBE SrLaIr2, relaxed; DOS(E_F) = 1.25 states/eV/cell
1.0
3.427 -3.845 0.000
3.427 3.845 0.000
0.000 0.000 3.475
Sr La Ir
1 1 2
direct
0.000 0.000 0.000
0.500 0.500 0.000
0.000 0.500 0.500
0.500 0.000 0.500

=====

Stability check: which of them is most stable? <b>.

=====

<a>
PBE SrLaIr, relaxed; DOS(E_F) = 1.67 states/eV/cell
1.0
0.000 3.577 3.577
3.577 0.000 3.577
3.577 3.577 0.000
Sr La Ir
1 1 1
direct
0.000 0.000 0.000
0.500 0.500 0.500
0.250 0.250 0.250

=====

<b>
PBE SrLaIr, relaxed; DOS(E_F) = 2.96 states/eV/cell
1.0
5.675 0.000 0.000
0.000 4.625 0.000
-2.192 0.000 7.407
Sr La Ir
2 2 2
direct
0.246 0.250 0.433
0.754 0.750 0.567
0.234 0.250 0.946
0.766 0.750 0.054
0.309 0.750 0.186
0.691 0.250 0.814

=====

Stability check: which of them is most stable? <b>.